Computed, not measured: a relaxed structure of NdPuPtAu at the PBE level of DFT.

a = 4.518 Å, b = 3.928 Å, c = 11.133 Å
α = 90.00°, β = 90.00°, γ = 90.00°
Space group Amm2 (No. 38)
Unique sites:
Nd (0.000, 0.000, 0.000)
Pu (0.500, 0.000, 0.723)
Pt (0.000, 0.000, 0.266)
Au (0.500, 0.000, 0.443)

Output
ΔE to the lowest computed polymorph = 0.000 eV per atom
calculated total energy = -7.87 eV/atom
total magnetization = 5.6 μB/f.u.

---

Computed, not measured: a relaxed structure of NdSbPtAu at the PBE level of DFT.

a = 7.093 Å, b = 7.093 Å, c = 7.093 Å
α = 90.00°, β = 90.00°, γ = 90.00°
Space group F-43m (No. 216)
Unique sites:
Nd (0.000, 0.000, 0.000)
Sb (0.000, 0.000, 0.500)
Pt (0.250, 0.250, 0.750)
Au (0.250, 0.250, 0.250)

Output
calculated total energy = -5.24 eV/atom
total magnetization = 0.0 μB/f.u.
formation energy without anion corrections = -0.68 eV/atom

---

Computed, not measured: a relaxed structure of NdScPtAu at the PBE level of DFT.

a = 7.050 Å, b = 7.050 Å, c = 7.050 Å
α = 90.00°, β = 90.00°, γ = 90.00°
Space group F-43m (No. 216)
Unique sites:
Nd (0.000, 0.000, 0.000)
Sc (0.000, 0.000, 0.500)
Pt (0.250, 0.250, 0.250)
Au (0.250, 0.250, 0.750)

Output
calculated total energy = -5.99 eV/atom
total magnetization = 0.0 μB/f.u.